1.
ScMn2Re: relaxed, PBEsol.

- DFT formation energy: 248 meV per atom
- Calculated volume: 53.9 Å³ per cell
- E: -9.62 eV/atom

POSCAR file:
```
ScMn2Re
1.0
3.001 0.000 0.000
0.000 4.110 0.000
0.000 0.000 4.371
Sc Mn Re
1 2 1
Direct
0.000 0.000 0.000 Sc
0.000 0.500 0.500 Mn
0.500 0.500 0.000 Mn
0.500 0.000 0.500 Re
```



2.
ScMn2Re: relaxed, PBEsol.

- DFT formation energy: 302 meV per atom
- Calculated volume: 55.2 Å³ per cell
- E: -9.56 eV/atom

POSCAR file:
```
ScMn2Re
1.0
-1.791 1.791 4.302
1.791 -1.791 4.302
1.791 1.791 -4.302
Sc Mn Re
1 2 1
Direct
0.000 0.000 0.000 Sc
0.500 0.500 0.000 Mn
0.750 0.250 0.500 Mn
0.250 0.750 0.500 Re
```



3.
Mn2ReSe: relaxed, PBEsol.

- Energy relative to the elements, uncorrected: 0.5312 eV/atom
- Calculated volume: 56.9 Å³ per cell
- E: -8.64 eV/atom

POSCAR file:
```
Mn2ReSe
1.0
1.507 -2.206 0.000
1.507 2.206 0.000
0.000 0.000 8.558
Mn Re Se
2 1 1
Direct
0.000 0.000 0.000 Mn
0.500 0.500 0.230 Mn
0.500 0.500 0.778 Re
0.000 0.000 0.455 Se
```



4.
Mn2ReSe: relaxed, PBEsol.

- Energy relative to the elements, uncorrected: 0.3768 eV/atom
- Calculated volume: 51.9 Å³ per cell
- E: -8.80 eV/atom

POSCAR file:
```
Mn2ReSe
1.0
1.373 0.793 7.955
-1.373 0.793 7.955
0.000 -1.585 7.955
Mn Re Se
2 1 1
Direct
0.000 0.000 0.000 Mn
0.254 0.254 0.254 Mn
0.506 0.506 0.506 Re
0.741 0.741 0.741 Se
```



5.
Mn2ReSe: relaxed, PBEsol.

- Energy relative to the elements, uncorrected: 0.3032 eV/atom
- Calculated volume: 52.7 Å³ per cell
- E: -8.87 eV/atom

POSCAR file:
```
Mn2ReSe
1.0
4.185 -1.413 0.000
4.185 1.413 0.000
-0.415 0.000 4.459
Mn Re Se
2 1 1
Direct
0.000 0.000 0.000 Mn
0.738 0.738 0.275 Mn
0.263 0.263 0.799 Re
0.483 0.483 0.437 Se
```



6.
MnReSi2: relaxed, PBEsol.

- Energy relative to the elements, uncorrected: -0.3380 eV/atom
- Relative energy among the computed polymorphs: 0 kJ/mol of formula units
- Calculated volume: 48.9 Å³ per cell
- E: -8.98 eV/atom

POSCAR file:
```
MnReSi2
1.0
3.028 0.000 0.000
0.000 3.028 0.000
0.000 0.000 5.331
Mn Re Si
1 1 2
Direct
0.000 0.000 0.000 Mn
0.500 0.500 0.323 Re
0.000 0.000 0.546 Si
0.500 0.500 0.809 Si
```



7.
MnRe2Si: relaxed, PBEsol.

- Energy relative to the elements, uncorrected: -0.1800 eV/atom
- Calculated volume: 50.7 Å³ per cell
- E: -10.72 eV/atom

POSCAR file:
```
MnRe2Si
1.0
-1.440 2.095 4.206
1.440 -2.095 4.206
1.440 2.095 -4.206
Mn Re Si
1 2 1
Direct
0.000 0.000 0.000 Mn
0.467 0.467 0.000 Re
0.738 0.238 0.500 Re
0.222 0.722 0.500 Si
```



8.
MnReSi2: relaxed, PBEsol.

- Energy relative to the elements, uncorrected: -0.2597 eV/atom
- Relative energy among the computed polymorphs: 30 kJ/mol of formula units
- Calculated volume: 48.1 Å³ per cell
- E: -8.91 eV/atom

POSCAR file:
```
MnReSi2
1.0
4.066 0.000 0.000
0.000 4.066 0.000
0.000 0.000 2.910
Mn Re Si
1 1 2
Direct
0.000 0.000 0.000 Mn
0.500 0.500 0.000 Re
0.000 0.500 0.500 Si
0.500 0.000 0.500 Si
```



9.
MnRe2Si: relaxed, PBEsol.

- Energy relative to the elements, uncorrected: -0.1873 eV/atom
- Calculated volume: 50.6 Å³ per cell
- E: -10.73 eV/atom

POSCAR file:
```
MnRe2Si
1.0
2.841 0.000 0.000
0.000 2.841 0.000
0.000 0.000 6.270
Mn Re Si
1 2 1
Direct
0.000 0.000 0.000 Mn
0.000 0.000 0.543 Re
0.500 0.500 0.256 Re
0.500 0.500 0.799 Si
```



10.
Mn3ReSn: relaxed, PBEsol.

- DFT formation energy: 1258 meV per atom
- Calculated volume: 93.8 Å³ per cell
- E: -8.12 eV/atom

POSCAR file:
```
Mn3ReSn
1.0
4.544 0.000 0.000
0.000 4.544 0.000
0.000 0.000 4.544
Mn Re Sn
3 1 1
Direct
0.000 0.000 0.500 Mn
0.000 0.500 0.000 Mn
0.500 0.000 0.000 Mn
0.000 0.000 0.000 Re
0.500 0.500 0.500 Sn
```



11.
Sr3MnRe: relaxed, PBEsol.

- DFT formation energy: 1703 meV per atom
- Calculated volume: 172.5 Å³ per cell
- E: -4.02 eV/atom

POSCAR file:
```
Sr3MnRe
1.0
5.566 0.000 0.000
0.000 5.566 0.000
0.000 0.000 5.566
Sr Mn Re
3 1 1
Direct
0.000 0.000 0.500 Sr
0.000 0.500 0.000 Sr
0.500 0.000 0.000 Sr
0.000 0.000 0.000 Mn
0.500 0.500 0.500 Re
```



12.
Ta2MnRe: relaxed, PBEsol.

- DFT formation energy: 25 meV per atom
- Calculated volume: 60.7 Å³ per cell
- E: -12.02 eV/atom

POSCAR file:
```
Ta2MnRe
1.0
1.602 -2.219 0.000
1.602 2.219 0.000
0.000 0.000 8.539
Ta Mn Re
2 1 1
Direct
0.000 0.000 0.000 Ta
0.500 0.500 0.280 Ta
0.000 0.000 0.518 Mn
0.500 0.500 0.738 Re
```



13.
Ta2MnRe: relaxed, PBEsol.

- DFT formation energy: -302 meV per atom
- Calculated volume: 59.9 Å³ per cell
- E: -12.35 eV/atom

POSCAR file:
```
Ta2MnRe
1.0
3.107 0.000 0.000
0.000 3.107 0.000
0.000 0.000 6.202
Ta Mn Re
2 1 1
Direct
0.000 0.000 0.242 Ta
0.000 0.000 0.758 Ta
0.500 0.500 0.000 Mn
0.500 0.500 0.500 Re
```



14.
Ta2MnRe: relaxed, PBEsol.

- DFT formation energy: -45 meV per atom
- Calculated volume: 60.4 Å³ per cell
- E: -12.09 eV/atom

POSCAR file:
```
Ta2MnRe
1.0
3.117 0.000 0.000
0.000 3.117 0.000
0.000 0.000 6.219
Ta Mn Re
2 1 1
Direct
0.000 0.000 0.000 Ta
0.500 0.500 0.280 Ta
0.000 0.000 0.514 Mn
0.500 0.500 0.750 Re
```



15.
Ta4MnRe: relaxed, PBEsol.

- DFT formation energy: 529 meV per atom
- Calculated volume: 103.4 Å³ per cell
- E: -11.69 eV/atom

POSCAR file:
```
Ta4MnRe
1.0
0.000 3.725 3.725
3.725 0.000 3.725
3.725 3.725 0.000
Ta Mn Re
4 1 1
Direct
0.124 0.124 0.124 Ta
0.124 0.124 0.627 Ta
0.124 0.627 0.124 Ta
0.627 0.124 0.124 Ta
0.500 0.500 0.500 Mn
0.750 0.750 0.750 Re
```



16.
TaMn4Re: relaxed, PBEsol.

- DFT formation energy: -153 meV per atom
- Calculated volume: 72.7 Å³ per cell
- E: -10.97 eV/atom

POSCAR file:
```
TaMn4Re
1.0
0.000 3.312 3.312
3.312 0.000 3.312
3.312 3.312 0.000
Ta Mn Re
1 4 1
Direct
0.000 0.000 0.000 Ta
0.120 0.627 0.627 Mn
0.627 0.120 0.627 Mn
0.627 0.627 0.120 Mn
0.627 0.627 0.627 Mn
0.250 0.250 0.250 Re
```



17.
Ta2MnRe: relaxed, PBEsol.

- DFT formation energy: 175 meV per atom
- Calculated volume: 61.7 Å³ per cell
- E: -11.87 eV/atom

POSCAR file:
```
Ta2MnRe
1.0
1.489 0.860 8.040
-1.489 0.860 8.040
0.000 -1.719 8.040
Ta Mn Re
2 1 1
Direct
0.246 0.246 0.246 Ta
0.754 0.754 0.754 Ta
0.500 0.500 0.500 Mn
0.000 0.000 0.000 Re
```



18.
Ta2MnRe: relaxed, PBEsol.

- DFT formation energy: -304 meV per atom
- Calculated volume: 60.1 Å³ per cell
- E: -12.35 eV/atom

POSCAR file:
```
Ta2MnRe
1.0
0.000 3.109 3.109
3.109 0.000 3.109
3.109 3.109 0.000
Ta Mn Re
2 1 1
Direct
0.250 0.250 0.250 Ta
0.750 0.750 0.750 Ta
0.000 0.000 0.000 Mn
0.500 0.500 0.500 Re
```



19.
Ta2MnRe: relaxed, PBEsol.

- DFT formation energy: -44 meV per atom
- Calculated volume: 60.2 Å³ per cell
- E: -12.09 eV/atom

POSCAR file:
```
Ta2MnRe
1.0
-1.571 2.264 4.234
1.571 -2.264 4.234
1.571 2.264 -4.234
Ta Mn Re
2 1 1
Direct
0.245 0.245 0.000 Ta
0.755 0.755 0.000 Ta
0.000 0.500 0.500 Mn
0.500 0.000 0.500 Re
```



20.
MnRe2Tc: relaxed, PBEsol.

- DFT formation energy: 78 meV per atom
- Relative energy among the computed polymorphs: 0 kJ/mol of formula units
- Calculated volume: 53.8 Å³ per cell
- E: -11.85 eV/atom

POSCAR file:
```
MnRe2Tc
1.0
2.685 0.000 0.000
0.000 2.685 0.000
0.000 0.000 7.464
Mn Re Tc
1 2 1
Direct
0.000 0.000 0.000 Mn
0.500 0.500 0.233 Re
0.500 0.500 0.767 Re
0.000 0.000 0.500 Tc
```



21.
MnRe2Tc: relaxed, PBEsol.

- DFT formation energy: 113 meV per atom
- Relative energy among the computed polymorphs: 14 kJ/mol of formula units
- Calculated volume: 54.5 Å³ per cell
- E: -11.81 eV/atom

POSCAR file:
```
MnRe2Tc
1.0
2.683 -3.781 0.000
2.683 3.781 0.000
0.000 0.000 2.686
Mn Re Tc
1 2 1
Direct
0.000 0.000 0.000 Mn
0.000 0.500 0.500 Re
0.500 0.000 0.500 Re
0.500 0.500 0.000 Tc
```



22.
MnRe2Te: relaxed, PBEsol.

- Energy relative to the elements, uncorrected: 0.8521 eV/atom
- Calculated volume: 64.5 Å³ per cell
- E: -9.14 eV/atom

POSCAR file:
```
MnRe2Te
1.0
1.566 -2.265 0.000
1.566 2.265 0.000
0.000 0.000 9.092
Mn Re Te
1 2 1
Direct
0.000 0.000 0.000 Mn
0.500 0.500 0.211 Re
0.500 0.500 0.789 Re
0.000 0.000 0.500 Te
```



23.
MnRe2Te: relaxed, PBEsol.

- Energy relative to the elements, uncorrected: 0.7585 eV/atom
- Calculated volume: 60.5 Å³ per cell
- E: -9.23 eV/atom

POSCAR file:
```
MnRe2Te
1.0
0.000 3.115 3.115
3.115 0.000 3.115
3.115 3.115 0.000
Mn Re Te
1 2 1
Direct
0.000 0.000 0.000 Mn
0.250 0.250 0.250 Re
0.500 0.500 0.500 Re
0.750 0.750 0.750 Te
```



24.
MnReTe: relaxed, PBEsol.

- Energy relative to the elements, uncorrected: 0.5627 eV/atom
- Calculated volume: 46.5 Å³ per cell
- E: -8.31 eV/atom

POSCAR file:
```
MnReTe
1.0
-1.480 1.480 5.315
1.480 -1.480 5.315
1.480 1.480 -5.315
Mn Re Te
1 1 1
Direct
0.000 0.000 0.000 Mn
0.367 0.367 0.000 Re
0.675 0.675 0.000 Te
```



25.
TiMn2Re2: relaxed, PBEsol.

- DFT formation energy: 208 meV per atom
- Calculated volume: 72.9 Å³ per cell
- E: -10.69 eV/atom

POSCAR file:
```
TiMn2Re2
1.0
-1.944 1.944 4.820
1.944 -1.944 4.820
1.944 1.944 -4.820
Ti Mn Re
1 2 2
Direct
0.000 0.000 0.000 Ti
0.395 0.395 0.000 Mn
0.605 0.605 0.000 Mn
0.250 0.750 0.500 Re
0.750 0.250 0.500 Re
```



26.
Ti2MnRe: relaxed, PBEsol.

- DFT formation energy: -294 meV per atom
- Calculated volume: 55.1 Å³ per cell
- E: -10.23 eV/atom

POSCAR file:
```
Ti2MnRe
1.0
0.000 3.020 3.020
3.020 0.000 3.020
3.020 3.020 0.000
Ti Mn Re
2 1 1
Direct
0.250 0.250 0.250 Ti
0.750 0.750 0.750 Ti
0.000 0.000 0.000 Mn
0.500 0.500 0.500 Re
```



27.
MnTlRe2: relaxed, PBEsol.

- DFT formation energy: 665 meV per atom
- Relative energy among the computed polymorphs: 29 kJ/mol of formula units
- Calculated volume: 63.0 Å³ per cell
- E: -9.10 eV/atom

POSCAR file:
```
MnTlRe2
1.0
2.762 0.000 0.000
0.000 3.756 0.000
0.000 0.000 6.076
Mn Tl Re
1 1 2
Direct
0.000 0.000 0.000 Mn
0.000 0.000 0.500 Tl
0.500 0.500 0.196 Re
0.500 0.500 0.804 Re
```



28.
Mn2TlRe: relaxed, PBEsol.

- DFT formation energy: 576 meV per atom
- Relative energy among the computed polymorphs: 0 kJ/mol of formula units
- Calculated volume: 62.6 Å³ per cell
- E: -8.29 eV/atom

POSCAR file:
```
Mn2TlRe
1.0
1.453 0.839 8.555
-1.453 0.839 8.555
0.000 -1.678 8.555
Mn Tl Re
2 1 1
Direct
0.242 0.242 0.242 Mn
0.758 0.758 0.758 Mn
0.000 0.000 0.000 Tl
0.500 0.500 0.500 Re
```



29.
MnTlRe2: relaxed, PBEsol.

- DFT formation energy: 591 meV per atom
- Relative energy among the computed polymorphs: 0 kJ/mol of formula units
- Calculated volume: 61.2 Å³ per cell
- E: -9.17 eV/atom

POSCAR file:
```
MnTlRe2
1.0
4.670 -1.419 0.000
4.670 1.419 0.000
-1.102 0.000 4.620
Mn Tl Re
1 1 2
Direct
0.000 0.000 0.000 Mn
0.500 0.500 0.500 Tl
0.271 0.271 0.783 Re
0.729 0.729 0.217 Re
```



30.
MnTlRe: relaxed, PBEsol.

- DFT formation energy: 716 meV per atom
- Relative energy among the computed polymorphs: 0 kJ/mol of formula units
- Calculated volume: 49.8 Å³ per cell
- E: -7.86 eV/atom

POSCAR file:
```
MnTlRe
1.0
0.000 2.390 6.696
1.555 0.000 6.696
1.555 2.390 0.000
Mn Tl Re
1 1 1
Direct
0.000 0.000 0.000 Mn
0.325 0.325 0.675 Tl
0.636 0.636 0.364 Re
```